(1)
Entry from the Alexandria database: a relaxed structure of CaSiSn (PBE-GGA).

## Properties
- ΔE_f (raw): -1.08 eV/f.u.

Cell lengths 4.3515, 17.4882, 3.8870 Å; angles 90.00, 90.00, 90.00 degrees
Last column: nearest neighbours and their distance in Å.
Space group Cmcm (No. 63)
Unique sites:
Ca 0.0000 0.0931 0.2500 [4 per cell]  6 Si 3.06-3.19
Si 0.0000 0.4595 0.2500 [4 per cell]  2 Si 2.41
Sn 0.0000 0.2898 0.2500 [4 per cell]  1 Si 2.97, 4 Sn 3.23

(2)
Entry from the Alexandria database: a relaxed structure of TiAs (PBE-GGA).

## Properties
- Energy of formation from the pure elements: -283 meV per atom

Cell lengths 5.7637, 5.7637, 5.7637 Å; angles 90.00, 90.00, 90.00 degrees
Last column: nearest neighbours and their distance in Å.
Space group F-43m (No. 216)
Unique sites:
Ti 0.0000 0.0000 0.0000 [4 per cell]  4 As 2.50
As 0.2500 0.2500 0.7500 [4 per cell]  4 Ti 2.50